First-principles (PBE-GGA) data for CaSc2Cl after structural relaxation, as listed in Alexandria.

Unit cell a=5.5259 b=5.5259 c=3.4819 alpha=90.00 beta=90.00 gamma=90.00
Positions (direct):
1 Sc 0.0000 0.0000 0.0000
2 Sc 0.5000 0.5000 0.0000
3 Ca 0.5000 0.0000 0.5000
4 Cl 0.0000 0.5000 0.5000

## Properties
* offset from the most stable computed form: 685.2 meV/atom

First-principles (PBE-GGA) data for Al2CrWI after structural relaxation, as listed in Alexandria.

Unit cell a=4.7183 b=4.9696 c=4.7183 alpha=90.00 beta=90.00 gamma=90.00
Site moments in Bohr magnetons follow the coordinates.
Positions (direct):
1 I 0.0000 0.5000 0.0000  -0.01
2 Cr 0.0000 0.0000 0.0000  1.91
3 Al 0.0000 0.0000 0.5000  -0.04
4 Al 0.5000 0.0000 0.0000  -0.04
5 W 0.5000 0.5000 0.5000  2.63

## Properties
* total energy: -23.5 eV per cell

First-principles (PBE-GGA) data for LiSiSe after structural relaxation, as listed in Alexandria.

Unit cell a=8.5526 b=8.5526 c=8.5526 alpha=161.95 beta=161.95 gamma=25.63
Positions (direct):
1 Li 0.9953 0.9953 0.0000
2 Se 0.3787 0.3787 0.0000
3 Si 0.6259 0.6259 0.0000

## Properties
* offset from the most stable computed form: 157.2 meV/atom

First-principles (PBE-GGA) data for In3BTe after structural relaxation, as listed in Alexandria.

Unit cell a=4.9381 b=4.9381 c=4.9381 alpha=90.00 beta=90.00 gamma=90.00
Positions (direct):
1 B 0.0000 0.0000 0.0000
2 Te 0.5000 0.5000 0.5000
3 In 0.0000 0.5000 0.0000
4 In 0.0000 0.0000 0.5000
5 In 0.5000 0.0000 0.0000

## Properties
* offset from the most stable computed form: 0.0 meV/atom

First-principles (PBE-GGA) data for Na2HfVCu after structural relaxation, as listed in Alexandria.

Unit cell a=5.8416 b=4.5585 c=5.8416 alpha=90.00 beta=90.00 gamma=90.00
Site moments in Bohr magnetons follow the coordinates.
Positions (direct):
1 Na 0.0000 0.0000 0.5000  0.00
2 Na 0.5000 0.0000 0.0000  0.00
3 Hf 0.0000 0.0000 0.0000  0.09
4 Cu 0.5000 0.5000 0.5000  0.00
5 V 0.0000 0.5000 0.0000  1.21

## Properties
* DFT formation energy: 1.684 eV per atom

First-principles (PBE-GGA) data for Cd2BNCl after structural relaxation, as listed in Alexandria.

Unit cell a=4.4235 b=5.0673 c=4.4235 alpha=90.00 beta=90.00 gamma=90.00
Site moments in Bohr magnetons follow the coordinates.
Positions (direct):
1 N 0.0000 0.0000 0.0000  0.03
2 Cl 0.0000 0.5000 0.0000  0.01
3 B 0.5000 0.5000 0.5000  0.15
4 Cd 0.0000 0.0000 0.5000  0.00
5 Cd 0.5000 0.0000 0.0000  0.01

## Properties
* total energy: -12.1 eV per cell

First-principles (PBE-GGA) data for PrY2ScSe6 after structural relaxation, as listed in Alexandria.

Unit cell a=7.1973 b=7.1971 c=7.6749 alpha=62.03 beta=62.03 gamma=59.99
Positions (direct):
1 Pr 0.8133 0.8134 0.5599
2 Y 0.5178 0.5178 0.4466
3 Y 0.0115 0.0115 0.9656
4 Sc 0.3220 0.3220 0.0339
5 Se 0.5930 0.2255 0.2463
6 Se 0.2254 0.9351 0.2463
7 Se 0.9352 0.5930 0.2464
8 Se 0.4000 0.7140 0.7566
9 Se 0.7141 0.1292 0.7567
10 Se 0.1293 0.4001 0.7567

## Properties
* total energy: -62.9 eV per cell

First-principles (PBE-GGA) data for Ti2PtRh7 after structural relaxation, as listed in Alexandria.

Unit cell a=2.7784 b=8.4115 c=8.4115 alpha=122.42 beta=90.00 gamma=90.00
Positions (direct):
1 Ti 0.5000 0.6768 0.3232
2 Ti 0.5000 0.3232 0.6768
3 Pt 0.0000 0.0000 0.0000
4 Rh 0.0000 0.8128 0.1872
5 Rh 0.0000 0.1872 0.8128
6 Rh 0.5000 0.1328 0.3301
7 Rh 0.5000 0.8672 0.6699
8 Rh 0.5000 0.3301 0.1328
9 Rh 0.5000 0.6699 0.8672
10 Rh 0.5000 0.5000 0.5000

## Properties
* DFT formation energy: 0.131 eV per atom

First-principles (PBE-GGA) data for DySc3Te after structural relaxation, as listed in Alexandria.

Unit cell a=3.7278 b=9.9975 c=13.7156 alpha=90.00 beta=90.00 gamma=90.00
Positions (direct):
1 Dy 0.7500 0.8403 0.9780
2 Dy 0.2500 0.6597 0.4780
3 Dy 0.7500 0.3403 0.5220
4 Dy 0.2500 0.1597 0.0220
5 Sc 0.2500 0.5856 0.0772
6 Sc 0.7500 0.4144 0.9228
7 Sc 0.2500 0.0856 0.4228
8 Sc 0.7500 0.9144 0.5772
9 Sc 0.2500 0.3915 0.7335
10 Sc 0.7500 0.1085 0.2335
11 Sc 0.2500 0.8915 0.7665
12 Sc 0.7500 0.6428 0.6860
13 Sc 0.2500 0.3572 0.3140
14 Sc 0.7500 0.1428 0.8140
15 Sc 0.7500 0.6085 0.2665
16 Sc 0.2500 0.8572 0.1860
17 Te 0.2500 0.1316 0.6377
18 Te 0.2500 0.6316 0.8623
19 Te 0.7500 0.3684 0.1377
20 Te 0.7500 0.8684 0.3623

## Properties
* total energy: -116.2 eV per cell

First-principles (PBE-GGA) data for SmMgScTl after structural relaxation, as listed in Alexandria.

Unit cell a=5.2503 b=5.2503 c=5.2503 alpha=60.00 beta=60.00 gamma=60.00
Positions (direct):
1 Sc 0.0000 0.0000 0.0000
2 Tl 0.7500 0.7500 0.7500
3 Mg 0.2500 0.2500 0.2500
4 Sm 0.5000 0.5000 0.5000

## Properties
* DFT formation energy: -0.215 eV per atom

First-principles (PBE-GGA) data for Pr5ZnAu4 after structural relaxation, as listed in Alexandria.

Unit cell a=3.7402 b=3.7402 c=18.6784 alpha=90.00 beta=90.00 gamma=90.00
Positions (direct):
1 Pr 0.5000 0.5000 0.0984
2 Pr 0.5000 0.5000 0.2986
3 Pr 0.5000 0.5000 0.5000
4 Pr 0.5000 0.5000 0.7014
5 Pr 0.5000 0.5000 0.9016
6 Zn 0.0000 0.0000 0.0000
7 Au 0.0000 0.0000 0.1970
8 Au 0.0000 0.0000 0.4001
9 Au 0.0000 0.0000 0.5999
10 Au 0.0000 0.0000 0.8030

## Properties
* DFT formation energy: -0.660 eV per atom

First-principles (PBE-GGA) data for LaGe2TePt after structural relaxation, as listed in Alexandria.

Unit cell a=5.7513 b=5.1388 c=5.7513 alpha=90.00 beta=90.00 gamma=90.00
Positions (direct):
1 Ge 0.0000 0.0000 0.5000
2 Ge 0.5000 0.0000 0.0000
3 Te 0.5000 0.5000 0.5000
4 Pt 0.0000 0.5000 0.0000
5 La 0.0000 0.0000 0.0000

## Properties
* offset from the most stable computed form: 571.0 meV/atom

First-principles (PBE-GGA) data for Rb2SbClF6 after structural relaxation, as listed in Alexandria.

Unit cell a=7.8951 b=8.2960 c=7.7108 alpha=48.13 beta=40.00 gamma=49.91
Site moments in Bohr magnetons follow the coordinates.
Positions (direct):
1 Rb 0.4743 0.6267 0.2602  0.00
2 Rb 0.1580 0.0060 0.8428  0.00
3 Sb 0.3162 0.3161 0.0515  0.00
4 Cl 0.8160 0.8165 0.5516  0.05
5 F 0.3283 0.3710 0.2487  0.00
6 F 0.2494 0.0317 0.3574  0.00
7 F 0.9317 0.4650 0.2410  0.00
8 F 0.3830 0.6003 0.7453  0.00
9 F 0.7007 0.1672 0.8625  0.00
10 F 0.3041 0.2611 0.8543  0.00

## Properties
* offset from the most stable computed form: 0.0 meV/atom

First-principles (PBE-GGA) data for Ba4NiCl after structural relaxation, as listed in Alexandria.

Unit cell a=7.2619 b=7.2619 c=7.2619 alpha=60.00 beta=60.00 gamma=60.00
Site moments in Bohr magnetons follow the coordinates.
Positions (direct):
1 Ba 0.8756 0.3748 0.3748  -0.01
2 Ba 0.3748 0.3748 0.8756  -0.01
3 Ba 0.3748 0.8756 0.3748  -0.01
4 Ba 0.3748 0.3748 0.3748  -0.01
5 Ni 0.0000 0.0000 0.0000  0.32
6 Cl 0.7500 0.7500 0.7500  0.00

## Properties
* offset from the most stable computed form: 1016.9 meV/atom

First-principles (PBE-GGA) data for ZnCr2Si after structural relaxation, as listed in Alexandria.

Unit cell a=5.1138 b=4.6844 c=2.5207 alpha=82.71 beta=74.90 gamma=118.41
Positions (direct):
1 Cr 0.0000 0.0000 0.0000
2 Cr 0.5000 0.0000 0.5000
3 Si 0.0000 0.5000 0.5000
4 Zn 0.5000 0.5000 0.0000

## Properties
* total energy: -25.5 eV per cell

First-principles (PBE-GGA) data for TaTc2Pb after structural relaxation, as listed in Alexandria.

Unit cell a=3.2695 b=3.2695 c=6.5326 alpha=90.00 beta=90.00 gamma=90.00
Positions (direct):
1 Pb 0.5000 0.5000 0.2500
2 Ta 0.5000 0.5000 0.7500
3 Tc 0.0000 0.0000 0.9831
4 Tc 0.0000 0.0000 0.5169

## Properties
* DFT formation energy: 0.152 eV per atom

First-principles (PBE-GGA) data for Ti2VGeW after structural relaxation, as listed in Alexandria.

Unit cell a=4.5272 b=4.4992 c=4.5272 alpha=90.00 beta=90.00 gamma=90.00
Positions (direct):
1 Ge 0.5000 0.5000 0.5000
2 Ti 0.0000 0.0000 0.5000
3 Ti 0.5000 0.0000 0.0000
4 W 0.0000 0.5000 0.0000
5 V 0.0000 0.0000 0.0000

## Properties
* DFT formation energy: 0.933 eV per atom

First-principles (PBE-GGA) data for AcLaPrZn after structural relaxation, as listed in Alexandria.

Unit cell a=5.7016 b=5.7016 c=5.7016 alpha=60.00 beta=60.00 gamma=60.00
Positions (direct):
1 Pr 0.7500 0.7500 0.7500
2 Ac 0.5000 0.5000 0.5000
3 Zn 0.0000 0.0000 0.0000
4 La 0.2500 0.2500 0.2500

## Properties
* DFT formation energy: 0.109 eV per atom
* offset from the most stable computed form: 251.9 meV/atom

First-principles (PBE-GGA) data for Pm7HoCd2 after structural relaxation, as listed in Alexandria.

Unit cell a=5.3122 b=9.2765 c=9.2765 alpha=121.73 beta=90.00 gamma=90.00
Positions (direct):
1 Pm 0.0000 0.7789 0.2211
2 Pm 0.0000 0.2211 0.7789
3 Pm 0.5000 0.0671 0.2993
4 Pm 0.5000 0.9329 0.7007
5 Pm 0.5000 0.2993 0.0671
6 Pm 0.5000 0.7007 0.9329
7 Pm 0.5000 0.5000 0.5000
8 Ho 0.0000 0.0000 0.0000
9 Cd 0.5000 0.6965 0.3035
10 Cd 0.5000 0.3035 0.6965

## Properties
* DFT formation energy: 0.382 eV per atom

First-principles (PBE-GGA) data for CsY3Cd after structural relaxation, as listed in Alexandria.

Unit cell a=5.9025 b=5.9025 c=5.9025 alpha=90.00 beta=90.00 gamma=90.00
Positions (direct):
1 Cs 0.5000 0.5000 0.5000
2 Y 0.0000 0.5000 0.0000
3 Y 0.0000 0.0000 0.5000
4 Y 0.5000 0.0000 0.0000
5 Cd 0.0000 0.0000 0.0000

## Properties
* DFT formation energy: 0.479 eV per atom
* offset from the most stable computed form: 0.0 meV/atom

First-principles (PBE-GGA) data for Sc6FeCo after structural relaxation, as listed in Alexandria.

Unit cell a=6.0267 b=6.0289 c=5.8172 alpha=58.79 beta=80.75 gamma=71.93
Positions (direct):
1 Sc 0.7477 0.4281 0.6481
2 Sc 0.7477 0.0762 0.3519
3 Sc 0.2523 0.9238 0.6481
4 Sc 0.2523 0.5719 0.3519
5 Sc 0.7484 0.7497 0.0000
6 Sc 0.2516 0.2503 0.0000
7 Fe 0.5000 0.5000 0.0000
8 Co 0.0000 0.0000 0.0000

## Properties
* DFT formation energy: -0.045 eV per atom
* offset from the most stable computed form: 49.7 meV/atom

First-principles (PBE-GGA) data for LiTiZn6 after structural relaxation, as listed in Alexandria.

Unit cell a=4.3496 b=5.6329 c=5.6329 alpha=120.00 beta=90.00 gamma=90.00
Site moments in Bohr magnetons follow the coordinates.
Positions (direct):
1 Li 0.5000 0.4166 0.5834  0.00
2 Ti 0.0000 0.0833 0.9167  0.10
3 Zn 0.0000 0.0818 0.4159  0.00
4 Zn 0.0000 0.5841 0.9182  0.00
5 Zn 0.0000 0.5841 0.4159  0.00
6 Zn 0.5000 0.4179 0.0840  0.00
7 Zn 0.5000 0.9160 0.5821  0.00
8 Zn 0.5000 0.9160 0.0840  0.00

## Properties
* DFT formation energy: -0.158 eV per atom
* offset from the most stable computed form: 0.0 meV/atom

First-principles (PBE-GGA) data for Sc2IrWN after structural relaxation, as listed in Alexandria.

Unit cell a=5.1245 b=4.6140 c=5.1245 alpha=90.00 beta=90.00 gamma=90.00
Site moments in Bohr magnetons follow the coordinates.
Positions (direct):
1 Sc 0.0000 0.0000 0.5000  -0.06
2 Sc 0.5000 0.0000 0.0000  -0.08
3 Ir 0.0000 0.5000 0.0000  0.18
4 W 0.0000 0.0000 0.0000  0.02
5 N 0.5000 0.5000 0.5000  1.07

## Properties
* offset from the most stable computed form: 303.2 meV/atom

First-principles (PBE-GGA) data for YSb2Os after structural relaxation, as listed in Alexandria.

Unit cell a=3.3623 b=3.3623 c=7.6546 alpha=90.00 beta=90.00 gamma=95.48
Positions (direct):
1 Os 0.5000 0.5000 0.7500
2 Sb 0.0000 0.0000 0.9640
3 Sb 0.0000 0.0000 0.5360
4 Y 0.5000 0.5000 0.2500

## Properties
* offset from the most stable computed form: 309.8 meV/atom

First-principles (PBE-GGA) data for SmInI4 after structural relaxation, as listed in Alexandria.

Unit cell a=4.5895 b=7.9297 c=8.6965 alpha=101.06 beta=89.99 gamma=106.99
Positions (direct):
1 Sm 0.0000 0.0000 0.0000
2 In 0.5001 0.0000 0.4999
3 I 0.8790 0.7602 0.6735
4 I 0.1210 0.2397 0.3265
5 I 0.3811 0.7646 0.1045
6 I 0.6188 0.2354 0.8955

## Properties
* total energy: -20.2 eV per cell

First-principles (PBE-GGA) data for KBiSb2 after structural relaxation, as listed in Alexandria.

Unit cell a=5.3624 b=5.3624 c=6.7789 alpha=66.70 beta=66.70 gamma=60.00
Positions (direct):
1 Sb 0.7933 0.7933 0.6202
2 Sb 0.2067 0.2067 0.3798
3 K 0.0000 0.0000 0.0000
4 Bi 0.5000 0.5000 0.5000

## Properties
* total energy: -13.4 eV per cell

Number 1: magnetization 0.00 μB/f.u.. Number 2: magnetization 5.32 μB/f.u.. Number 3: magnetization 0.00 μB/f.u.. Number 4: magnetization 0.00 μB/f.u.. Number 5: magnetization 1.66 μB/f.u.. Number 6: magnetization 0.48 μB/f.u.. Number 7: magnetization 0.00 μB/f.u.. Number 8: magnetization 0.00 μB/f.u.. Number 9: magnetization 0.00 μB/f.u.. Number 10: magnetization 0.00 μB/f.u.. Number 11: magnetization 0.00 μB/f.u.. Number 12: magnetization 0.00 μB/f.u.. Number 13: magnetization 0.08 μB/f.u.. Number 14: magnetization 0.15 μB/f.u.. Number 15: magnetization 0.00 μB/f.u.. Number 16: magnetization 0.00 μB/f.u.. Number 17: magnetization 0.00 μB/f.u.. Number 18: magnetization 0.00 μB/f.u.. Number 19: magnetization 0.00 μB/f.u.. Number 20: magnetization 0.00 μB/f.u.. Number 21: magnetization 0.00 μB/f.u.. Number 22: magnetization 0.13 μB/f.u.. Number 23: magnetization 1.42 μB/f.u.. Number 24: magnetization 0.00 μB/f.u.. Number 25: magnetization 0.00 μB/f.u.. Number 26: magnetization 0.00 μB/f.u..